No. 1
Computed, not measured: AlTcCl4 after structural relaxation at the PBEsol level of DFT.

Geometry as POSCAR:
```
AlTcCl4
1.0
0.000 4.047 4.047
4.047 0.000 4.047
4.047 4.047 0.000
Al Tc Cl
1 1 4
Cartesian
0.000 0.000 0.000
6.071 6.071 6.071
3.041 3.041 3.041
5.054 5.054 3.041
5.054 3.041 5.054
3.041 5.054 5.054
```

Energy relative to the elements, uncorrected   6.02 eV per formula unit
Total moment   0.999 μB per atom
Final energy   -0.1064 hartree per atom

No. 2
Computed, not measured: LaAgSN2 after structural relaxation at the PBEsol level of DFT.

Geometry as POSCAR:
```
LaAgSN2
1.0
4.146 0.000 0.000
0.000 4.146 0.000
0.000 0.000 4.659
La Ag S N
1 1 1 2
Cartesian
0.000 0.000 0.000
2.073 2.073 2.329
2.073 2.073 0.000
0.000 2.073 2.329
2.073 0.000 2.329
```

Energy relative to the elements, uncorrected   1.74 eV per formula unit
Total moment   0.263 μB per atom
Final energy   -0.2084 hartree per atom

No. 3
Computed, not measured: MoRu2 after structural relaxation at the PBEsol level of DFT.

Geometry as POSCAR:
```
MoRu2
1.0
4.278 0.000 0.000
-2.139 3.705 0.000
0.000 0.000 5.343
Mo Ru
2 4
Cartesian
0.000 2.470 1.336
2.139 1.235 4.008
0.000 0.000 0.000
0.000 0.000 2.672
0.000 2.470 4.008
2.139 1.235 1.336
```

Calculated formation energy   0.166 eV per formula unit
Total moment   0.000 μB per atom
Final energy   -0.3913 hartree per atom

No. 4
Computed, not measured: Ba2TcBr after structural relaxation at the PBEsol level of DFT.

Geometry as POSCAR:
```
Ba2TcBr
1.0
4.598 0.000 0.000
0.000 4.598 0.000
0.000 0.000 6.317
Ba Tc Br
2 1 1
Cartesian
0.000 0.000 0.000
2.299 2.299 3.158
0.000 0.000 3.158
2.299 2.299 0.000
```

Energy relative to the elements, uncorrected   0.08 eV per formula unit
Total moment   0.502 μB per atom
Final energy   -0.1594 hartree per atom

No. 5
Computed, not measured: InOsSeN2 after structural relaxation at the PBEsol level of DFT.

Geometry as POSCAR:
```
InOsSeN2
1.0
3.838 0.000 0.000
0.000 3.838 0.000
0.000 0.000 5.397
In Os Se N
1 1 1 2
Cartesian
0.000 0.000 0.000
1.919 1.919 2.698
1.919 1.919 0.000
0.000 1.919 2.698
1.919 0.000 2.698
```

Energy relative to the elements, uncorrected   2.10 eV per formula unit
Total moment   0.000 μB per atom
Final energy   -0.2499 hartree per atom

No. 6
Computed, not measured: FeCo3 after structural relaxation at the PBEsol level of DFT.

Geometry as POSCAR:
```
FeCo3
1.0
2.449 0.000 0.000
-1.224 2.121 0.000
0.000 0.000 8.046
Fe Co
1 3
Cartesian
0.000 0.000 0.000
0.000 0.000 4.023
0.000 1.414 2.049
0.000 1.414 5.997
```

Calculated formation energy   0.231 eV per formula unit
Total moment   1.705 μB per atom
Final energy   -0.2935 hartree per atom